RbSnO2F PBEsol relaxed; D(E_F) = 0.5 states/eV/f.u.; symmetry = P4/mmm, No. 123; final energy = -5.425 eV per atom
1.0
4.0269 0.0000 0.0000
0.0000 4.0269 0.0000
0.0000 0.0000 4.4351
Rb Sn O F
1 1 2 1
direct
0.0000 0.0000 0.0000 Rb
0.5000 0.5000 0.5000 Sn
0.0000 0.5000 0.5000 O
0.5000 0.0000 0.5000 O
0.5000 0.5000 0.0000 F